Computed, not measured: a relaxed structure of Ca2MgPt at the PBE-GGA level of DFT.

a = 7.1601 Å, b = 7.1601 Å, c = 7.1601 Å
α = 90.00°, β = 90.00°, γ = 90.00°
Space group F-43m (No. 216)
Asymmetric unit:
Ca: 0.0000 0.0000 0.0000 x4
Ca: 0.2500 0.2500 0.2500 x4
Mg: 0.0000 0.0000 0.5000 x4
Pt: 0.2500 0.2500 0.7500 x4

Summary:
Energy of formation from the pure elements = -0.36 eV/atom
Final energy = -13.08 eV per formula unit
Density = 5.420 g/cm3